[1]
The following is a GGA-PBE calculation of crystalline RbGe5Mo3 at its relaxed geometry, from the Open Quantum Materials Database.

Lattice parameters (Å, degrees): 5.328 5.328 8.819 90.00 90.00 120.00
Sites, in units of the cell vectors:
Rb  0.000  0.000  0.000
Ge  0.000  0.000  0.500
Ge  0.333  0.667  0.247
Ge  0.333  0.667  0.753
Ge  0.667  0.333  0.247
Ge  0.667  0.333  0.753
Mo  0.000  0.500  0.500
Mo  0.500  0.000  0.500
Mo  0.500  0.500  0.500

[2]
The following is a GGA-PBE calculation of crystalline CsZrAu at its relaxed geometry, from the Open Quantum Materials Database.

Lattice parameters (Å, degrees): 4.935 4.935 4.935 60.00 60.00 60.00
Sites, in units of the cell vectors:
Cs  0.000  0.000  0.000
Zr  0.750  0.750  0.750
Au  0.500  0.500  0.500

[3]
The following is a GGA-PBE calculation of crystalline CsEr2O4 at its relaxed geometry, from the Open Quantum Materials Database.

Lattice parameters (Å, degrees): 7.126 7.126 7.126 60.00 60.00 60.00
Sites, in units of the cell vectors:
Cs  0.125  0.125  0.125
Cs  0.875  0.875  0.875
Er  0.000  0.500  0.500
Er  0.500  0.000  0.500
Er  0.500  0.500  0.000
Er  0.500  0.500  0.500
O  0.277  0.277  0.277
O  0.277  0.277  0.668
O  0.277  0.668  0.277
O  0.332  0.723  0.723
O  0.668  0.277  0.277
O  0.723  0.332  0.723
O  0.723  0.723  0.332
O  0.723  0.723  0.723

[4]
The following is a GGA-PBE calculation of crystalline BaRePO at its relaxed geometry, from the Open Quantum Materials Database.

Lattice parameters (Å, degrees): 4.052 7.099 6.515 90.00 90.00 90.00
Sites, in units of the cell vectors:
Ba  0.000  0.204  0.000
Ba  0.000  0.796  0.500
Re  0.500  0.396  0.572
Re  0.500  0.604  0.072
P  0.000  0.250  0.497
P  0.000  0.750  0.997
O  0.500  0.395  0.870
O  0.500  0.605  0.370

[5]
The following is a GGA-PBE calculation of crystalline Tb2DyIn3AgIr2 at its relaxed geometry, from the Open Quantum Materials Database.

Lattice parameters (Å, degrees): 3.857 7.715 7.715 119.99 90.00 90.00
Sites, in units of the cell vectors:
Tb  0.000  0.206  0.794
Tb  0.000  0.794  0.206
Dy  0.000  0.381  0.381
In  0.500  0.062  0.062
In  0.500  0.526  0.794
In  0.500  0.794  0.526
Ag  0.000  0.794  0.794
Ir  0.500  0.127  0.460
Ir  0.500  0.460  0.127

[6]
The following is a GGA-PBE calculation of crystalline NaHfTeAuSe2 at its relaxed geometry, from the Open Quantum Materials Database.

Lattice parameters (Å, degrees): 7.412 7.412 10.757 90.00 90.00 149.53
Sites, in units of the cell vectors:
Na  0.216  0.784  0.750
Na  0.784  0.216  0.250
Hf  0.000  0.000  0.000
Hf  0.000  0.000  0.500
Te  0.099  0.901  0.250
Te  0.901  0.099  0.750
Au  0.460  0.540  0.250
Au  0.540  0.460  0.750
Se  0.371  0.629  0.042
Se  0.371  0.629  0.458
Se  0.629  0.371  0.542
Se  0.629  0.371  0.958

Here are the calculated mass density numbers, same order: 5641 8229 6896 6566 10998 7581 (kg/m3).
Here are the calculated uncorrected energy numbers, same order: -6.263 -3.306 -6.899 -7.020 -5.346 -4.939 (eV/atom).